{
  "formula": "Tb2Er5Sc4",
  "functional": "PBE",
  "state": "relaxed",
  "lattice_angstrom": [[-0.391, -3.450, -0.401], [7.481, -0.346, -4.319], [6.036, -1.692, 8.680]],
  "species": ["Tb", "Tb", "Er", "Er", "Er", "Er", "Er", "Sc", "Sc", "Sc", "Sc"],
  "frac_coords": [[0.000, 0.924, 0.637], [0.000, 0.076, 0.363], [0.000, 0.454, 0.332], [0.000, 0.852, 0.133], [0.000, 0.500, 0.000], [0.000, 0.148, 0.867], [0.000, 0.546, 0.668], [0.500, 0.250, 0.574], [0.500, 0.799, 0.872], [0.500, 0.750, 0.426], [0.500, 0.201, 0.128]],
  "polymorph_energy_kj_per_mol_atoms": 0.0,
  "spacegroup": "P2/m (10)",
  "ef_ev_per_fu": 1.275,
  "total_energy_ev_per_atom": -5.102
}

---

{
  "formula": "CaNdSm6",
  "functional": "PBE",
  "state": "relaxed",
  "lattice_angstrom": [[4.994, 0.000, 1.363], [2.296, 5.733, 1.419], [0.040, -0.102, 9.682]],
  "species": ["Ca", "Nd", "Sm", "Sm", "Sm", "Sm", "Sm", "Sm"],
  "frac_coords": [[0.000, 0.500, 0.500], [0.000, 0.000, 0.000], [0.247, 0.878, 0.629], [0.502, 0.240, 0.756], [0.252, 0.374, 0.122], [0.498, 0.760, 0.244], [0.753, 0.122, 0.371], [0.748, 0.626, 0.878]],
  "polymorph_energy_kj_per_mol_atoms": 0.0,
  "spacegroup": "C2/m (12)",
  "ef_ev_per_fu": 0.388,
  "total_energy_ev_per_atom": -4.337
}

---

{
  "formula": "Mn2AgOs",
  "functional": "PBE",
  "state": "relaxed",
  "lattice_angstrom": [[-1.486, 3.268, 3.857], [-3.635, -1.552, 3.484], [4.739, -0.759, -2.174]],
  "species": ["Ag", "Mn", "Mn", "Os"],
  "frac_coords": [[0.249, 0.749, 0.500], [0.986, 0.986, 0.000], [0.743, 0.243, 0.500], [0.522, 0.522, 0.000]],
  "spacegroup": "Imm2 (44)",
  "ef_ev_per_fu": 1.803,
  "total_energy_ev_per_atom": -7.654
}

---

{
  "formula": "TePtI2",
  "functional": "PBE",
  "state": "relaxed",
  "lattice_angstrom": [[2.051, -1.408, -3.221], [2.910, 2.274, -1.711], [7.632, -3.318, 3.748]],
  "species": ["Te", "Pt", "I", "I"],
  "frac_coords": [[0.522, 0.522, 0.435], [0.242, 0.242, 0.274], [0.967, 0.967, 0.098], [0.770, 0.770, 0.692]],
  "spacegroup": "Cm (8)",
  "total_energy_ev_per_atom": -3.276,
  "raw_formation_energy_ev_per_atom": -0.205
}